Entry from Alexandria: a geometry-optimized Co3SnO structure (GGA+U).

Lattice parameters (Å, degrees): 4.016 4.016 4.016 90.00 90.00 90.00
Positions (direct):
Co 0.000 0.000 0.500
Co 0.000 0.500 0.000
Co 0.500 0.000 0.000
Sn 0.500 0.500 0.500
O 0.000 0.000 0.000

Calculated values
E above lowest polymorph ... 0.00 eV per formula unit